[1]
MnSb2OsI | PBE | optimized geometry

The structure belongs to space group P4/mmm (No. 123); the cell edges are 4.8133, 4.8133 and 5.0175 Å and the angles 90.00°, 90.00° and 90.00°. Symmetry generates all atoms from Mn at (0.0000, 0.0000, 0.0000), Sb at (0.0000, 0.5000, 0.0000), Os at (0.5000, 0.5000, 0.5000) and I at (0.0000, 0.0000, 0.5000).

Its uncorrected energy is -4.58 eV per atom.

***

[2]
Ac5LaMg4 | PBE | optimized geometry

The structure belongs to space group P4/mmm (No. 123); the cell edges are 4.0750, 4.0750 and 21.8804 Å and the angles 90.00°, 90.00° and 90.00°. Symmetry generates all atoms from Ac at (0.0000, 0.0000, 0.0000), Ac at (0.0000, 0.0000, 0.1898), Ac at (0.0000, 0.0000, 0.3810), La at (0.5000, 0.5000, 0.5000), Mg at (0.5000, 0.5000, 0.0952) and Mg at (0.5000, 0.5000, 0.2864).

The energy of formation is -0.06 eV/atom.

***

[3]
PmInPb | PBE | optimized geometry

The structure belongs to space group Cmcm (No. 63); the cell edges are 6.0064, 8.8418 and 6.6330 Å and the angles 90.00°, 90.00° and 90.00°. Symmetry generates all atoms from Pm at (0.0000, 0.1742, 0.2500), In at (0.0000, 0.1822, 0.7500) and Pb at (0.0000, 0.5000, 0.0000).

The energy of formation is -0.32 eV/atom.

***

[4]
KHfB2Br | PBE | optimized geometry

The structure belongs to space group P4/mmm (No. 123); the cell edges are 4.6469, 4.6469 and 6.2617 Å and the angles 90.00°, 90.00° and 90.00°. Symmetry generates all atoms from K at (0.0000, 0.0000, 0.0000), Hf at (0.0000, 0.0000, 0.5000), B at (0.0000, 0.5000, 0.0000) and Br at (0.5000, 0.5000, 0.5000).

Its uncorrected energy is -2.38 eV per atom.

***

[5]
Pm2TmCd | PBE | optimized geometry

The structure belongs to space group Fm-3m (No. 225); the cell edges are 7.7951, 7.7951 and 7.7951 Å and the angles 90.00°, 90.00° and 90.00°. Symmetry generates all atoms from Pm at (0.2500, 0.2500, 0.2500), Tm at (0.0000, 0.0000, 0.0000) and Cd at (0.0000, 0.0000, 0.5000).

The energy of formation is -0.05 eV/atom.